No. 1
Here is crystalline NdY8Th6 at its relaxed geometry from Alexandria. Energies are from PBE.

a = 8.800 Å, b = 8.800 Å, c = 8.800 Å
α = 60.77°, β = 60.77°, γ = 60.77°
Sites, in units of the cell vectors:
Nd (0.000, 0.000, 0.000)
Y (0.120, 0.671, 0.806)
Y (0.194, 0.880, 0.329)
Y (0.329, 0.194, 0.880)
Y (0.420, 0.420, 0.420)
Y (0.580, 0.580, 0.580)
Y (0.671, 0.806, 0.120)
Y (0.806, 0.120, 0.671)
Y (0.880, 0.329, 0.194)
Th (0.073, 0.536, 0.269)
Th (0.269, 0.073, 0.536)
Th (0.464, 0.731, 0.927)
Th (0.536, 0.269, 0.073)
Th (0.731, 0.927, 0.464)
Th (0.927, 0.464, 0.731)

Properties
Formation energy: 2.4 eV/f.u.
Magnetization: 0.00 μB per cell
Fermi-level density of states: 1.866 states/eV per atom

=====

No. 2
Here is crystalline Be2ZnP at its relaxed geometry from Alexandria. Energies are from PBE.

a = 5.829 Å, b = 5.829 Å, c = 5.829 Å
α = 90.00°, β = 90.00°, γ = 90.00°
Sites, in units of the cell vectors:
Be (0.000, 0.000, 0.000)
Be (0.000, 0.500, 0.500)
Be (0.250, 0.250, 0.250)
Be (0.250, 0.750, 0.750)
Be (0.500, 0.000, 0.500)
Be (0.500, 0.500, 0.000)
Be (0.750, 0.250, 0.750)
Be (0.750, 0.750, 0.250)
Zn (0.250, 0.250, 0.750)
Zn (0.250, 0.750, 0.250)
Zn (0.750, 0.250, 0.250)
Zn (0.750, 0.750, 0.750)
P (0.000, 0.000, 0.500)
P (0.000, 0.500, 0.000)
P (0.500, 0.000, 0.000)
P (0.500, 0.500, 0.500)

Properties
Formation energy: 2.6 eV/f.u.
Magnetization: 0.00 μB per cell
Energy above the lowest structure with this stoichiometry: 1.64 eV per formula unit
Fermi-level density of states: 0.387 states/eV per atom

=====

No. 3
Here is crystalline Pu2ZnPPt6 at its relaxed geometry from Alexandria. Energies are from PBE.

a = 5.550 Å, b = 8.599 Å, c = 8.180 Å
α = 90.00°, β = 90.00°, γ = 90.00°
Sites, in units of the cell vectors:
Pu (0.250, 0.019, 0.225)
Pu (0.250, 0.481, 0.225)
Pu (0.750, 0.519, 0.775)
Pu (0.750, 0.981, 0.775)
Zn (0.250, 0.750, 0.785)
Zn (0.750, 0.250, 0.215)
P (0.250, 0.250, 0.735)
P (0.750, 0.750, 0.265)
Pt (0.002, 0.750, 0.514)
Pt (0.004, 0.750, 0.042)
Pt (0.250, 0.003, 0.614)
Pt (0.250, 0.497, 0.614)
Pt (0.496, 0.750, 0.042)
Pt (0.498, 0.750, 0.514)
Pt (0.502, 0.250, 0.486)
Pt (0.504, 0.250, 0.958)
Pt (0.750, 0.503, 0.386)
Pt (0.750, 0.997, 0.386)
Pt (0.996, 0.250, 0.958)
Pt (0.998, 0.250, 0.486)

Properties
Formation energy: -6.4 eV/f.u.
Magnetization: 21.20 μB per cell
Fermi-level density of states: 3.056 states/eV per atom

=====

No. 4
Here is crystalline TbSm2Y at its relaxed geometry from Alexandria. Energies are from PBE.

a = 8.105 Å, b = 8.105 Å, c = 8.105 Å
α = 90.00°, β = 90.00°, γ = 90.00°
Sites, in units of the cell vectors:
Tb (0.000, 0.000, 0.000)
Tb (0.000, 0.500, 0.500)
Tb (0.500, 0.000, 0.500)
Tb (0.500, 0.500, 0.000)
Sm (0.250, 0.250, 0.250)
Sm (0.250, 0.250, 0.750)
Sm (0.250, 0.750, 0.250)
Sm (0.250, 0.750, 0.750)
Sm (0.750, 0.250, 0.250)
Sm (0.750, 0.250, 0.750)
Sm (0.750, 0.750, 0.250)
Sm (0.750, 0.750, 0.750)
Y (0.000, 0.000, 0.500)
Y (0.000, 0.500, 0.000)
Y (0.500, 0.000, 0.000)
Y (0.500, 0.500, 0.500)

Properties
Formation energy: 0.5 eV/f.u.
Magnetization: 0.00 μB per cell
Energy above the lowest structure with this stoichiometry: 0.47 eV per formula unit
Fermi-level density of states: 2.279 states/eV per atom

=====

No. 5
Here is crystalline Sc8Ga2Re at its relaxed geometry from Alexandria. Energies are from PBE.

a = 7.932 Å, b = 7.932 Å, c = 7.932 Å
α = 145.92°, β = 122.84°, γ = 68.25°
Sites, in units of the cell vectors:
Sc (0.126, 0.349, 0.777)
Sc (0.129, 0.129, 0.000)
Sc (0.314, 0.000, 0.314)
Sc (0.428, 0.651, 0.777)
Sc (0.572, 0.349, 0.223)
Sc (0.686, 0.000, 0.686)
Sc (0.871, 0.871, 0.000)
Sc (0.874, 0.651, 0.223)
Ga (0.306, 0.806, 0.500)
Ga (0.694, 0.194, 0.500)
Re (0.000, 0.500, 0.500)

Properties
Formation energy: -2.6 eV/f.u.
Magnetization: 0.00 μB per cell
Fermi-level density of states: 0.941 states/eV per atom

=====

No. 6
Here is crystalline Sc2TaBr at its relaxed geometry from Alexandria. Energies are from PBE.

a = 3.217 Å, b = 3.217 Å, c = 8.431 Å
α = 90.00°, β = 90.00°, γ = 90.00°
Sites, in units of the cell vectors:
Sc (0.000, 0.000, 0.235)
Sc (0.000, 0.000, 0.765)
Ta (0.500, 0.500, 0.000)
Br (0.500, 0.500, 0.500)

Properties
Magnetization: 0.00 μB per cell
Energy above the lowest structure with this stoichiometry: 0.17 eV per formula unit
Fermi-level density of states: 1.046 states/eV per atom
Formation energy without anion corrections: -0.26 eV/atom

=====

No. 7
Here is crystalline BaSbTe2W at its relaxed geometry from Alexandria. Energies are from PBE.

a = 5.552 Å, b = 5.552 Å, c = 5.247 Å
α = 90.00°, β = 90.00°, γ = 90.00°
Sites, in units of the cell vectors:
Ba (0.000, 0.000, 0.000)
Sb (0.500, 0.500, 0.000)
Te (0.000, 0.500, 0.500)
Te (0.500, 0.000, 0.500)
W (0.500, 0.500, 0.500)

Properties
Magnetization: 0.54 μB per cell
Energy above the lowest structure with this stoichiometry: 0.00 eV per formula unit
Fermi-level density of states: 0.906 states/eV per atom
Formation energy without anion corrections: -0.12 eV/atom